(1)
PBE-GGA HoMnFe, optimized geometry; magnetic moment = 2.99 μB per formula unit; DFT formation energy = 15 meV/atom
1.0
-2.532 2.584 3.609
2.532 -2.584 3.609
2.532 2.584 -3.609
Ho Mn Fe
2 2 2
Cartesian
0.000 1.292 0.888
2.532 1.292 2.720
2.532 0.000 0.000
0.000 0.000 3.609
1.266 1.292 -1.804
1.266 -1.292 1.804

***

(2)
PBE-GGA Ho3MnFe8, optimized geometry; magnetic moment = 17.15 μB per formula unit; DFT formation energy = -30 meV/atom
1.0
2.505 1.447 8.196
-2.505 1.447 8.196
0.000 -2.893 8.196
Ho Mn Fe
3 1 8
Cartesian
0.000 0.000 0.000
0.000 0.000 3.148
0.000 0.000 15.230
0.000 0.000 12.249
0.000 -1.446 5.572
-1.253 0.723 5.572
-1.240 -0.716 9.775
0.000 0.000 7.663
1.253 0.723 5.572
1.240 -0.716 9.775
0.000 1.432 9.775
0.000 0.000 19.973

***

(3)
PBE-GGA HoMnFeP2, optimized geometry; magnetic moment = 0.00 μB per formula unit; DFT formation energy = -973 meV/atom
1.0
-1.932 1.932 4.688
1.932 -1.932 4.688
1.932 1.932 -4.688
Ho Mn Fe P
1 1 1 2
Cartesian
0.000 0.000 0.000
0.000 1.932 2.344
1.932 0.000 2.344
0.000 0.000 3.429
0.000 0.000 5.947

***

(4)
PBE-GGA HoPuMnFe, optimized geometry; magnetic moment = 1.37 μB per formula unit; DFT formation energy = 89 meV/atom
1.0
0.000 3.346 3.346
3.346 0.000 3.346
3.346 3.346 0.000
Ho Pu Mn Fe
1 1 1 1
Cartesian
0.000 0.000 0.000
3.346 3.346 3.346
5.019 5.019 5.019
1.673 1.673 1.673

***

(5)
PBE-GGA HoMnFeSi2, optimized geometry; magnetic moment = 2.83 μB per formula unit; formation energy from raw total energies = -0.656 eV per atom
1.0
-1.938 1.938 5.063
1.938 -1.938 5.063
1.938 1.938 -5.063
Ho Mn Fe Si
1 1 1 2
Cartesian
0.000 0.000 0.000
1.938 0.000 2.531
0.000 1.938 2.531
0.000 0.000 3.828
0.000 0.000 6.297

***

(6)
PBE-GGA HoFeMo, optimized geometry; magnetic moment = 0.00 μB per formula unit; DFT formation energy = 504 meV/atom
1.0
6.460 0.000 0.000
0.000 6.460 0.000
0.000 0.000 5.900
Ho Fe Mo
4 4 4
Cartesian
1.618 1.618 0.000
1.612 4.848 1.475
4.848 1.612 4.425
4.842 4.842 2.950
0.330 0.330 2.950
2.900 3.560 4.425
3.560 2.900 1.475
6.130 6.130 0.000
1.253 5.207 4.425
1.977 1.977 2.950
4.484 4.484 0.000
5.207 1.253 1.475

***

Number 1: density of states at the Fermi level 7.481 states/eV/cell, volume 94.4 Å³ per cell, DFT total energy -7.388 eV/atom. Number 2: density of states at the Fermi level 15.340 states/eV/cell, volume 178.2 Å³ per cell, DFT total energy -7.581 eV/atom. Number 3: density of states at the Fermi level 3.208 states/eV/cell, volume 70.0 Å³ per cell, DFT total energy -7.579 eV/atom. Number 4: density of states at the Fermi level 5.977 states/eV/cell, volume 74.9 Å³ per cell, DFT total energy -9.046 eV/atom. Number 5: density of states at the Fermi level 1.994 states/eV/cell, volume 76.1 Å³ per cell, DFT total energy -7.267 eV/atom. Number 6: density of states at the Fermi level 9.636 states/eV/cell, volume 246.2 Å³ per cell, DFT total energy -7.453 eV/atom.